Entry 1:
Rb4SbPAu2 | PBE | optimized geometry

Crystal system ... orthorhombic
Energy ... -2.97 eV/atom
Calculated density ... 5.14 Mg/m³
Space group ... Amm2, No. 38

Cell lengths 6.8974, 6.6245, 6.6245 Å; angles 108.61, 90.00, 90.00 degrees
Last column: nearest neighbours and their distance in Å.
Atoms (fractional coordinates):
Rb 0.0000 0.1655 0.8345  1 Rb 3.56, 2 Au 3.57, 2 Sb 3.64-3.78, 2 P 3.93
Rb 0.0000 0.8345 0.1655  1 Rb 3.56, 2 Au 3.57, 2 Sb 3.64-3.78, 2 P 3.93
Rb 0.5000 0.5101 0.8611  2 P 3.58-3.61, 4 Au 3.76-3.96, 1 Rb 3.78
Rb 0.5000 0.8611 0.5101  2 P 3.58-3.61, 4 Au 3.76-3.96, 1 Rb 3.78
Sb 0.0000 0.5692 0.5692  2 Au 2.70
P 0.5000 0.0833 0.0833  2 Au 2.40
Au 0.2718 0.3178 0.3178  1 P 2.40
Au 0.7282 0.3178 0.3178  1 P 2.40

---

Entry 2:
Pt2W | PBE | optimized geometry

Crystal system ... cubic
Energy ... -8.07 eV/atom
ΔE_f ... 0.283 eV/atom
Calculated density ... 19.72 Mg/m³
E above lowest polymorph ... 623.9 meV/atom
Space group ... Fd-3m, No. 227

Cell lengths 5.1519, 5.1519, 5.1519 Å; angles 60.00, 60.00, 60.00 degrees
Last column: nearest neighbours and their distance in Å.
Atoms (fractional coordinates):
Pt 0.0000 0.0000 0.0000  6 Pt 2.58
Pt 0.0000 0.0000 0.5000  6 Pt 2.58
Pt 0.0000 0.5000 0.0000  6 Pt 2.58
Pt 0.5000 0.0000 0.0000  6 Pt 2.58
W 0.3750 0.3750 0.3750  12 Pt 3.02, 4 W 3.15
W 0.6250 0.6250 0.6250  12 Pt 3.02, 4 W 3.15

---

Entry 3:
BaTcAg2Se2S2 | PBE | optimized geometry

Crystal system ... monoclinic
Energy ... -4.70 eV/atom
Calculated density ... 5.35 Mg/m³
Space group ... C2, No. 5

Cell lengths 6.4372, 6.4372, 6.9870 Å; angles 121.55, 121.55, 78.75 degrees
Last column: nearest neighbours and their distance in Å.
Atoms (fractional coordinates):
Ba 0.0000 0.0000 0.0000  4 S 3.30-3.42, 4 Se 3.40-3.45
Tc 0.4903 0.5097 0.0000  2 S 2.23, 2 Se 2.39
Ag 0.3210 0.6790 0.5000  2 S 2.53
Ag 0.6884 0.3116 0.5000  2 Se 2.57
Se 0.4675 0.1484 0.6215  1 Tc 2.39, 1 Ag 2.57
Se 0.8516 0.5325 0.3785  1 Tc 2.39, 1 Ag 2.57
S 0.1596 0.4892 0.0192  1 Tc 2.23
S 0.5108 0.8404 0.9808  1 Tc 2.23

---

Entry 4:
Rb2NbPdBr6 | PBE | optimized geometry

Crystal system ... cubic
Energy ... -3.69 eV/atom
Calculated density ... 4.46 Mg/m³
Space group ... Fm-3m, No. 225

Cell lengths 7.6482, 7.6482, 7.6482 Å; angles 60.00, 60.00, 60.00 degrees
Last column: nearest neighbours and their distance in Å.
Atoms (fractional coordinates):
Rb 0.2500 0.2500 0.2500  12 Br 3.82
Rb 0.7500 0.7500 0.7500  12 Br 3.82
Nb 0.0000 0.0000 0.0000  6 Br 2.63
Pd 0.5000 0.5000 0.5000  6 Br 2.77
Br 0.2435 0.2435 0.7565  1 Nb 2.63, 1 Pd 2.77
Br 0.2435 0.7565 0.2435  1 Nb 2.63, 1 Pd 2.77
Br 0.2435 0.7565 0.7565  1 Nb 2.63, 1 Pd 2.77
Br 0.7565 0.2435 0.2435  1 Nb 2.63, 1 Pd 2.77
Br 0.7565 0.2435 0.7565  1 Nb 2.63, 1 Pd 2.77
Br 0.7565 0.7565 0.2435  1 Nb 2.63, 1 Pd 2.77